{
  "formula": "ThCdIn",
  "functional": "PBE",
  "state": "relaxed",
  "cell": [[-2.917, -0.849, -0.912], [-0.096, -2.163, 2.319], [-2.017, 7.634, 4.866]],
  "species": ["Th", "Cd", "In"],
  "fractional_positions": [[0.949, 0.949, 0.899], [0.769, 0.769, 0.539], [0.131, 0.131, 0.262]],
  "spacegroup": "I4mm (107)",
  "formation_enthalpy_0k_ev_per_atom": 0.403
}